1.
First-principles (meta-GGA SCAN) data for a crystal of Nb2Pd relaxed with PBEsol, as listed in Alexandria via LeMat-Bulk.

Results
mass density = 9.79 Mg/m³
electronic total energy = -33.27 eV per atom

The structure in CIF format:
```
data_Nb2Pd
_cell_length_a 3.604
_cell_length_b 4.249
_cell_length_c 12.948
_cell_angle_alpha 90.00
_cell_angle_beta 90.00
_cell_angle_gamma 90.00
_symmetry_space_group_name_H-M 'F m m m'
_symmetry_Int_Tables_number 69
_symmetry_space_group_name_Hall '-F 2 2'
loop_
_atom_site_label
_atom_site_type_symbol
_atom_site_fract_x
_atom_site_fract_y
_atom_site_fract_z
_atom_site_occupancy
Nb1 Nb 0.000 0.000 0.162 1
Pd1 Pd 0.000 0.000 0.500 1
```

***

2.
First-principles (meta-GGA SCAN) data for a crystal of SnAs2AuN relaxed with PBEsol, as listed in Alexandria via LeMat-Bulk.

Results
ΔE_f (raw) = 0.724 eV/atom
mass density = 9.25 Mg/m³

The structure in CIF format:
```
data_SnAs2AuN
_cell_length_a 4.371
_cell_length_b 4.371
_cell_length_c 4.506
_cell_angle_alpha 90.00
_cell_angle_beta 90.00
_cell_angle_gamma 90.00
_symmetry_space_group_name_H-M 'P 4/m m m'
_symmetry_Int_Tables_number 123
_symmetry_space_group_name_Hall '-P 4 2'
loop_
_atom_site_label
_atom_site_type_symbol
_atom_site_fract_x
_atom_site_fract_y
_atom_site_fract_z
_atom_site_occupancy
Sn1 Sn 0.000 0.000 0.000 1
As1 As 0.000 0.500 0.500 1
Au1 Au 0.500 0.500 0.000 1
N1 N 0.000 0.000 0.500 1
```

***

3.
First-principles (meta-GGA SCAN) data for a crystal of Sc2TlPb relaxed with PBEsol, as listed in Alexandria via LeMat-Bulk.

Results
mass density = 9.03 Mg/m³
excess energy over the best structure of this formula in the dataset = 0.0 meV per atom

The structure in CIF format:
```
data_Sc2TlPb
_cell_length_a 4.021
_cell_length_b 4.423
_cell_length_c 10.371
_cell_angle_alpha 90.00
_cell_angle_beta 90.00
_cell_angle_gamma 90.00
_symmetry_space_group_name_H-M 'I m m 2'
_symmetry_Int_Tables_number 44
loop_
_symmetry_equiv_pos_as_xyz
'x,y,z'
'-x,-y,z'
'-x,y,z'
'x,-y,z'
'x+1/2,y+1/2,z+1/2'
'-x+1/2,-y+1/2,z+1/2'
'-x+1/2,y+1/2,z+1/2'
'x+1/2,-y+1/2,z+1/2'
loop_
_atom_site_label
_atom_site_type_symbol
_atom_site_fract_x
_atom_site_fract_y
_atom_site_fract_z
_atom_site_occupancy
Sc1 Sc 0.000 0.000 0.000 1
Sc2 Sc 0.000 0.500 0.250 1
Tl1 Tl 0.000 0.500 0.752 1
Pb1 Pb 0.000 0.000 0.495 1
```